No. 1
First-principles (PBE) data for an optimized crystal structure of Nd4Er5Mg2, as listed in Alexandria.

As for the raw total energy: -3.9586 eV per atom. The value obtained for the calculated volume is 32.1 Å³/atom. For the energy of formation, the calculation gives 139 meV/atom.

Geometry as POSCAR:
```
Nd4Er5Mg2
1.0
3.405 0.000 -0.682
-1.188 9.817 -5.933
0.907 -4.768 13.378
Nd Er Mg
4 5 2
Direct
0.023 0.771 0.047 Nd
0.977 0.229 0.953 Nd
0.356 0.524 0.712 Nd
0.644 0.476 0.288 Nd
0.825 0.728 0.649 Er
0.787 0.956 0.574 Er
0.175 0.272 0.351 Er
0.213 0.044 0.426 Er
0.500 0.000 0.000 Er
0.592 0.653 0.184 Mg
0.408 0.347 0.816 Mg
```

No. 2
First-principles (PBE) data for an optimized crystal structure of Nd2Er8Mg, as listed in Alexandria.

As for the raw total energy: -4.1898 eV per atom. The value obtained for the calculated volume is 31.5 Å³/atom. For the energy of formation, the calculation gives 140 meV/atom. Its energy above the most stable polymorph in this dataset is 29 meV per atom.

Geometry as POSCAR:
```
Nd2Er8Mg
1.0
-0.587 -6.376 -1.723
4.113 -7.079 5.643
-2.341 -6.812 6.854
Er Nd Mg
8 2 1
Direct
0.177 0.754 0.754 Er
0.775 0.659 0.179 Er
0.225 0.341 0.821 Er
0.823 0.246 0.246 Er
0.271 0.407 0.407 Er
0.775 0.179 0.659 Er
0.225 0.821 0.341 Er
0.729 0.593 0.593 Er
0.578 0.814 0.814 Nd
0.422 0.186 0.186 Nd
0.000 0.000 0.000 Mg
```

No. 3
First-principles (PBE) data for an optimized crystal structure of NdEr2Mg3, as listed in Alexandria.

As for the raw total energy: -3.1906 eV per atom. The value obtained for the calculated volume is 27.5 Å³/atom. For the energy of formation, the calculation gives -78 meV/atom.

Geometry as POSCAR:
```
NdEr2Mg3
1.0
-0.606 2.322 2.940
-3.726 -0.063 -0.718
-1.178 -9.062 6.914
Nd Mg Er
1 3 2
Direct
0.500 0.500 0.500 Nd
0.000 0.000 0.000 Mg
0.000 0.000 0.323 Mg
0.000 0.000 0.677 Mg
0.500 0.500 0.838 Er
0.500 0.500 0.162 Er
```

No. 4
First-principles (PBE) data for an optimized crystal structure of Nd4ErMg5, as listed in Alexandria.

As for the raw total energy: -3.2605 eV per atom. The value obtained for the calculated volume is 28.8 Å³/atom. For the energy of formation, the calculation gives -100 meV/atom.

Geometry as POSCAR:
```
Nd4ErMg5
1.0
3.856 0.000 0.000
0.000 3.856 0.000
0.000 0.000 19.387
Er Nd Mg
1 4 5
Direct
0.000 0.000 0.000 Er
0.000 0.000 0.805 Nd
0.000 0.000 0.602 Nd
0.000 0.000 0.195 Nd
0.000 0.000 0.398 Nd
0.500 0.500 0.297 Mg
0.500 0.500 0.703 Mg
0.500 0.500 0.907 Mg
0.500 0.500 0.093 Mg
0.500 0.500 0.500 Mg
```

No. 5
First-principles (PBE) data for an optimized crystal structure of NdErMg, as listed in Alexandria.

As for the raw total energy: -3.5787 eV per atom. The value obtained for the calculated volume is 30.3 Å³/atom. For the energy of formation, the calculation gives 63 meV/atom. Its energy above the most stable polymorph in this dataset is 109 meV per atom.

Geometry as POSCAR:
```
NdErMg
1.0
3.509 0.000 0.000
0.000 5.447 0.000
0.000 0.000 9.515
Mg Er Nd
2 2 2
Direct
0.000 0.500 0.939 Mg
0.500 0.000 0.061 Mg
0.000 0.000 0.764 Er
0.500 0.500 0.236 Er
0.500 0.500 0.606 Nd
0.000 0.000 0.394 Nd
```

No. 6
First-principles (PBE) data for an optimized crystal structure of Nd5Er8Mg, as listed in Alexandria.

As for the raw total energy: -4.2007 eV per atom. The value obtained for the calculated volume is 32.8 Å³/atom. For the energy of formation, the calculation gives 223 meV/atom.

Geometry as POSCAR:
```
Nd5Er8Mg
1.0
8.002 0.000 -2.629
-4.051 6.793 -2.897
0.099 0.000 8.422
Er Nd Mg
8 5 1
Direct
0.663 0.396 0.920 Er
0.562 0.904 0.833 Er
0.342 0.271 0.438 Er
0.080 0.743 0.476 Er
0.524 0.604 0.266 Er
0.167 0.729 0.071 Er
0.929 0.096 0.658 Er
0.734 0.257 0.337 Er
0.815 0.683 0.707 Nd
0.500 0.000 0.500 Nd
0.024 0.317 0.132 Nd
0.293 0.109 0.976 Nd
0.868 0.891 0.185 Nd
0.250 0.500 0.750 Mg
```

Question: What is the raw total energy in the first record?
Answer: -3.9586 eV per atom

Question: raw total energy of number 5 (NdErMg)?
Answer: -3.5787 eV per atom

Question: What is the calculated volume in the fourth record?
Answer: 28.8 Å³/atom

Question: Which of these has the highest calculated volume?
Answer: Nd5Er8Mg